{
  "formula": "ErSc2Cd",
  "functional": "GGA-PBE",
  "state": "relaxed",
  "space_group": "R-3m, No. 166",
  "dos_ef_per_ev_atom": 1.488,
  "formation_energy_ev_per_atom": 0.173,
  "energy_ev_per_atom": -4.362,
  "de_polymorph_mev_per_atom": 304.4,
  "lattice": [[1.636, 0.944, 11.301], [-1.636, 0.944, 11.301], [0.000, -1.889, 11.301]],
  "species": ["Er", "Sc", "Sc", "Cd"],
  "frac_coords": [[0.000, 0.000, 0.000], [0.094, 0.094, 0.094], [0.906, 0.906, 0.906], [0.500, 0.500, 0.500]]
}